P) Computed, not measured: crystalline Nd2Sn5Pd3 at its relaxed geometry at the PBE-GGA level of DFT.

Unit cell a=9.109 b=9.109 c=9.109 alpha=106.09 beta=89.16 gamma=137.53
Fractional coordinates of all 20 atoms:
Nd (0.142, 0.229, 0.371)
Nd (0.358, 0.729, 0.087)
Nd (0.642, 0.271, 0.913)
Nd (0.858, 0.771, 0.629)
Sn (0.027, 0.750, 0.277)
Sn (0.091, 0.668, 0.758)
Sn (0.250, 0.250, 0.000)
Sn (0.409, 0.168, 0.577)
Sn (0.473, 0.750, 0.723)
Sn (0.527, 0.250, 0.277)
Sn (0.591, 0.832, 0.423)
Sn (0.750, 0.750, 0.000)
Sn (0.909, 0.332, 0.242)
Sn (0.973, 0.250, 0.723)
Pd (0.142, 0.895, 0.037)
Pd (0.250, 0.750, 0.500)
Pd (0.358, 0.395, 0.754)
Pd (0.642, 0.605, 0.246)
Pd (0.750, 0.250, 0.500)
Pd (0.858, 0.105, 0.963)

Computed properties:
As for the symmetry: Ibam.



Q) Computed, not measured: crystalline Nd2Sn5Pd3 at its relaxed geometry at the PBE-GGA level of DFT.

Unit cell a=13.586 b=13.586 c=7.447 alpha=90.00 beta=90.00 gamma=160.44
Fractional coordinates of all 20 atoms:
Nd (0.023, 0.977, 0.500)
Nd (0.327, 0.673, 0.511)
Nd (0.673, 0.327, 0.011)
Nd (0.977, 0.023, 0.000)
Sn (0.097, 0.903, 0.866)
Sn (0.204, 0.796, 0.314)
Sn (0.211, 0.789, 0.733)
Sn (0.380, 0.620, 0.994)
Sn (0.451, 0.549, 0.665)
Sn (0.549, 0.451, 0.165)
Sn (0.620, 0.380, 0.494)
Sn (0.789, 0.211, 0.233)
Sn (0.796, 0.204, 0.814)
Sn (0.903, 0.097, 0.366)
Pd (0.106, 0.894, 0.237)
Pd (0.278, 0.722, 0.032)
Pd (0.449, 0.551, 0.282)
Pd (0.551, 0.449, 0.782)
Pd (0.722, 0.278, 0.532)
Pd (0.894, 0.106, 0.737)

Computed properties:
As for the symmetry: Cmc2_1.



Which of them is the most stable, and which is the least stable? Q) and P), in that order.



P) Computed, not measured: crystalline NdSnPd6 at its relaxed geometry at the PBE-GGA level of DFT.

Unit cell a=7.596 b=7.596 c=7.596 alpha=42.47 beta=42.47 gamma=42.47
Fractional coordinates of all 8 atoms:
Nd (0.000, 0.000, 0.000)
Sn (0.500, 0.500, 0.500)
Pd (0.059, 0.570, 0.570)
Pd (0.430, 0.430, 0.941)
Pd (0.430, 0.941, 0.430)
Pd (0.570, 0.059, 0.570)
Pd (0.570, 0.570, 0.059)
Pd (0.941, 0.430, 0.430)

Computed properties:
As for the symmetry: R-3m.



Q) Computed, not measured: crystalline NdSnPd6 at its relaxed geometry at the PBE-GGA level of DFT.

Unit cell a=5.836 b=5.836 c=4.117 alpha=90.00 beta=90.00 gamma=90.00
Fractional coordinates of all 8 atoms:
Nd (0.000, 0.000, 0.000)
Sn (0.500, 0.500, 0.000)
Pd (0.000, 0.500, 0.000)
Pd (0.258, 0.258, 0.500)
Pd (0.258, 0.742, 0.500)
Pd (0.500, 0.000, 0.000)
Pd (0.742, 0.258, 0.500)
Pd (0.742, 0.742, 0.500)

Computed properties:
As for the symmetry: P4/mmm.



Which of them is the most stable, and which is the least stable? Q) and P), in that order.



P) Computed, not measured: crystalline Nd4SnPd at its relaxed geometry at the PBE-GGA level of DFT.

Unit cell a=10.842 b=10.842 c=6.539 alpha=90.00 beta=90.00 gamma=150.16
Fractional coordinates of all 12 atoms:
Nd (0.053, 0.947, 0.750)
Nd (0.204, 0.796, 0.506)
Nd (0.204, 0.796, 0.994)
Nd (0.393, 0.607, 0.750)
Nd (0.607, 0.393, 0.250)
Nd (0.796, 0.204, 0.006)
Nd (0.796, 0.204, 0.494)
Nd (0.947, 0.053, 0.250)
Sn (0.349, 0.651, 0.250)
Sn (0.651, 0.349, 0.750)
Pd (0.081, 0.919, 0.250)
Pd (0.919, 0.081, 0.750)

Computed properties:
As for the symmetry: Cmcm.



Q) Computed, not measured: crystalline Nd4SnPd at its relaxed geometry at the PBE-GGA level of DFT.

Unit cell a=5.559 b=7.161 c=8.947 alpha=90.00 beta=99.16 gamma=90.00
Fractional coordinates of all 12 atoms:
Nd (0.154, 0.250, 0.049)
Nd (0.210, 0.750, 0.368)
Nd (0.321, 0.522, 0.734)
Nd (0.321, 0.978, 0.734)
Nd (0.679, 0.022, 0.266)
Nd (0.679, 0.478, 0.266)
Nd (0.790, 0.250, 0.632)
Nd (0.846, 0.750, 0.951)
Sn (0.228, 0.250, 0.417)
Sn (0.772, 0.750, 0.583)
Pd (0.356, 0.750, 0.056)
Pd (0.644, 0.250, 0.944)

Computed properties:
As for the symmetry: P2_1/m.



Which of them is the most stable, and which is the least stable? Q) and P), in that order.